# 1
VASP calculation (GGA+U) on an optimized crystal structure of KCaMnO4.

Structure (CIF):
```
data_KCaMnO4
_chemical_formula_sum 'K2 Ca2 Mn2 O8'
_symmetry_space_group_name_H-M 'I -4'
_symmetry_Int_Tables_number 82
_cell_length_a 5.902
_cell_length_b 5.902
_cell_length_c 8.437
_cell_angle_alpha 90.00
_cell_angle_beta 90.00
_cell_angle_gamma 90.00
loop_
_symmetry_equiv_pos_as_xyz
'x,y,z'
'y,-x,-z'
'-x,-y,z'
'-y,x,-z'
'x+1/2,y+1/2,z+1/2'
'y+1/2,-x+1/2,-z+1/2'
'-x+1/2,-y+1/2,z+1/2'
'-y+1/2,x+1/2,-z+1/2'
loop_
_atom_site_label
_atom_site_fract_x
_atom_site_fract_y
_atom_site_fract_z
K1 0.000 0.000 0.000
Ca1 0.000 0.000 0.500
Mn1 0.000 0.500 0.750
O1 0.132 0.299 0.636
```

## Properties
- DFT total energy (eV/atom) = -6.105
- total magnetization (Bohr magnetons per cell) = 4.0

# 2
VASP calculation (GGA+U) on an optimized crystal structure of KCa2MnO4.

Structure (CIF):
```
data_KCa2MnO4
_chemical_formula_sum 'K4 Ca8 Mn4 O16'
_symmetry_space_group_name_H-M 'C m c m'
_symmetry_Int_Tables_number 63
_symmetry_space_group_name_Hall '-C 2c 2'
_cell_length_a 3.492
_cell_length_b 12.008
_cell_length_c 12.123
_cell_angle_alpha 90.00
_cell_angle_beta 90.00
_cell_angle_gamma 90.00
loop_
_atom_site_label
_atom_site_fract_x
_atom_site_fract_y
_atom_site_fract_z
K1 0.000 0.083 0.250
Ca1 0.000 0.370 0.037
Mn1 0.000 0.186 0.750
O1 0.000 0.000 0.000
O2 0.000 0.248 0.610
O3 0.000 0.387 0.250
```

## Properties
- DFT total energy (eV/atom) = -6.243
- total magnetization (Bohr magnetons per cell) = 16.0

# 3
VASP calculation (GGA+U) on an optimized crystal structure of KSrCaMnO6.

Structure (CIF):
```
data_KSrCaMnO6
_chemical_formula_sum 'K4 Sr4 Ca4 Mn4 O24'
_symmetry_space_group_name_H-M 'F -4 3 m'
_symmetry_Int_Tables_number 216
_symmetry_space_group_name_Hall 'F -4 2 3'
_cell_length_a 8.329
_cell_length_b 8.329
_cell_length_c 8.329
_cell_angle_alpha 90.00
_cell_angle_beta 90.00
_cell_angle_gamma 90.00
loop_
_atom_site_label
_atom_site_fract_x
_atom_site_fract_y
_atom_site_fract_z
K1 0.000 0.000 0.000
Sr1 0.000 0.000 0.500
Ca1 0.250 0.250 0.750
Mn1 0.250 0.250 0.250
O1 0.024 0.250 0.250
```

## Properties
- DFT total energy (eV/atom) = -5.846
- total magnetization (Bohr magnetons per cell) = 24.0